Below is a relaxed LiOs2Au crystal, with properties calculated at the PBE level.

Structure (CIF):
```
data_LiOs2Au
_chemical_formula_sum 'Li2 Os4 Au2'
_symmetry_space_group_name_H-M 'C m m 2'
_symmetry_Int_Tables_number 35
_cell_length_a 2.813
_cell_length_b 4.641
_cell_length_c 9.401
_cell_angle_alpha 90.00
_cell_angle_beta 90.00
_cell_angle_gamma 90.00
loop_
_symmetry_equiv_pos_as_xyz
'x,y,z'
'-x,-y,z'
'-x,y,z'
'x,-y,z'
'x+1/2,y+1/2,z'
'-x+1/2,-y+1/2,z'
'-x+1/2,y+1/2,z'
'x+1/2,-y+1/2,z'
loop_
_atom_site_label
_atom_site_type_symbol
_atom_site_fract_x
_atom_site_fract_y
_atom_site_fract_z
Li1 Li 0.000 0.000 0.000
Os1 Os 0.000 0.000 0.477
Os2 Os 0.000 0.500 0.245
Au1 Au 0.000 0.500 0.759
```

## Properties
* calculated formation energy: 0.3488 eV/atom
* VASP energy: -52.5 eV for the cell shown
* D(E_F): 6.993 states/eV per cell
* calculated density: 15.8 g/cm³

***

Below is a relaxed La3Pr4Cd crystal, with properties calculated at the PBE level.

Structure (CIF):
```
data_La3Pr4Cd
_chemical_formula_sum 'La6 Pr8 Cd2'
_symmetry_space_group_name_H-M 'I m m 2'
_symmetry_Int_Tables_number 44
_cell_length_a 6.487
_cell_length_b 9.101
_cell_length_c 9.901
_cell_angle_alpha 90.00
_cell_angle_beta 90.00
_cell_angle_gamma 90.00
loop_
_symmetry_equiv_pos_as_xyz
'x,y,z'
'-x,-y,z'
'-x,y,z'
'x,-y,z'
'x+1/2,y+1/2,z+1/2'
'-x+1/2,-y+1/2,z+1/2'
'-x+1/2,y+1/2,z+1/2'
'x+1/2,-y+1/2,z+1/2'
loop_
_atom_site_label
_atom_site_type_symbol
_atom_site_fract_x
_atom_site_fract_y
_atom_site_fract_z
La1 La 0.000 0.000 0.000
La2 La 0.000 0.167 0.662
Pr1 Pr 0.000 0.329 0.370
Pr2 Pr 0.240 0.500 0.804
Cd1 Cd 0.000 0.500 0.086
```

## Properties
* calculated formation energy: 0.2743 eV/atom
* VASP energy: -65.2 eV for the cell shown
* D(E_F): 28.934 states/eV per cell
* calculated density: 6.2 g/cm³

***

Below is a relaxed Cs2TiBr5 crystal, with properties calculated at the PBE level.

Structure (CIF):
```
data_Cs2TiBr5
_chemical_formula_sum 'Cs8 Ti4 Br20'
_symmetry_space_group_name_H-M 'F m m 2'
_symmetry_Int_Tables_number 42
_symmetry_space_group_name_Hall 'F 2 -2'
_cell_length_a 11.671
_cell_length_b 11.692
_cell_length_c 9.947
_cell_angle_alpha 90.00
_cell_angle_beta 90.00
_cell_angle_gamma 90.00
loop_
_atom_site_label
_atom_site_type_symbol
_atom_site_fract_x
_atom_site_fract_y
_atom_site_fract_z
Cs1 Cs 0.250 0.250 0.000
Ti1 Ti 0.000 0.000 0.195
Br1 Br 0.000 0.000 0.954
Br2 Br 0.000 0.215 0.253
Br3 Br 0.214 0.000 0.256
```

## Properties
* VASP energy: -120.2 eV for the cell shown
* D(E_F): 13.838 states/eV per cell
* calculated density: 3.5 g/cm³

***

Below is a relaxed Cs3ReO crystal, with properties calculated at the PBE level.

Structure (CIF):
```
data_Cs3ReO
_chemical_formula_sum 'Cs3 Re1 O1'
_symmetry_space_group_name_H-M 'P m -3 m'
_symmetry_Int_Tables_number 221
_symmetry_space_group_name_Hall '-P 4 2 3'
_cell_length_a 5.928
_cell_length_b 5.928
_cell_length_c 5.928
_cell_angle_alpha 90.00
_cell_angle_beta 90.00
_cell_angle_gamma 90.00
loop_
_atom_site_label
_atom_site_type_symbol
_atom_site_fract_x
_atom_site_fract_y
_atom_site_fract_z
Cs1 Cs 0.000 0.000 0.500
Re1 Re 0.500 0.500 0.500
O1 O 0.000 0.000 0.000
```

## Properties
* VASP energy: -16.5 eV for the cell shown
* D(E_F): 8.552 states/eV per cell
* calculated density: 4.8 g/cm³

***

Below is a relaxed CuSeI3 crystal, with properties calculated at the PBE level.

Structure (CIF):
```
data_CuSeI3
_chemical_formula_sum 'Cu2 Se2 I6'
_symmetry_space_group_name_H-M 'P -1'
_symmetry_Int_Tables_number 2
_cell_length_a 4.415
_cell_length_b 8.241
_cell_length_c 11.793
_cell_angle_alpha 80.90
_cell_angle_beta 86.14
_cell_angle_gamma 83.84
loop_
_symmetry_equiv_pos_as_xyz
'x,y,z'
'-x,-y,-z'
loop_
_atom_site_label
_atom_site_type_symbol
_atom_site_fract_x
_atom_site_fract_y
_atom_site_fract_z
Cu1 Cu 0.153 0.141 0.189
Se1 Se 0.009 0.393 0.583
I1 I 0.282 0.904 0.350
I2 I 0.285 0.419 0.272
I3 I 0.336 0.787 0.922
```

## Properties
* VASP energy: -24.6 eV for the cell shown
* D(E_F): 0.159 states/eV per cell
* calculated density: 4.1 g/cm³

***

Below is a relaxed Re3PRh crystal, with properties calculated at the PBE level.

Structure (CIF):
```
data_Re3PRh
_chemical_formula_sum 'Re3 P1 Rh1'
_symmetry_space_group_name_H-M 'P m -3 m'
_symmetry_Int_Tables_number 221
_symmetry_space_group_name_Hall '-P 4 2 3'
_cell_length_a 4.335
_cell_length_b 4.335
_cell_length_c 4.335
_cell_angle_alpha 90.00
_cell_angle_beta 90.00
_cell_angle_gamma 90.00
loop_
_atom_site_label
_atom_site_type_symbol
_atom_site_fract_x
_atom_site_fract_y
_atom_site_fract_z
Re1 Re 0.000 0.000 0.500
P1 P 0.000 0.000 0.000
Rh1 Rh 0.500 0.500 0.500
```

## Properties
* calculated formation energy: 0.9452 eV/atom
* VASP energy: -45.4 eV for the cell shown
* D(E_F): 5.109 states/eV per cell
* calculated density: 14.1 g/cm³

***

Below is a relaxed LaPmErTl crystal, with properties calculated at the PBE level.

Structure (CIF):
```
data_LaPmErTl
_chemical_formula_sum 'La2 Pm2 Er2 Tl2'
_symmetry_space_group_name_H-M 'I -4 m 2'
_symmetry_Int_Tables_number 119
_symmetry_space_group_name_Hall 'I -4 -2'
_cell_length_a 4.893
_cell_length_b 4.893
_cell_length_c 10.244
_cell_angle_alpha 90.00
_cell_angle_beta 90.00
_cell_angle_gamma 90.00
loop_
_atom_site_label
_atom_site_type_symbol
_atom_site_fract_x
_atom_site_fract_y
_atom_site_fract_z
La1 La 0.000 0.000 0.000
Pm1 Pm 0.000 0.500 0.250
Er1 Er 0.000 0.500 0.750
Tl1 Tl 0.000 0.000 0.500
```

## Properties
* calculated formation energy: -0.1427 eV/atom
* VASP energy: -34.4 eV for the cell shown
* D(E_F): 13.363 states/eV per cell
* calculated density: 8.9 g/cm³

***

Below is a relaxed Tb7Dy crystal, with properties calculated at the PBE level.

Structure (CIF):
```
data_Tb7Dy
_chemical_formula_sum 'Tb28 Dy4'
_symmetry_space_group_name_H-M 'F m -3 m'
_symmetry_Int_Tables_number 225
_symmetry_space_group_name_Hall '-F 4 2 3'
_cell_length_a 10.034
_cell_length_b 10.034
_cell_length_c 10.034
_cell_angle_alpha 90.00
_cell_angle_beta 90.00
_cell_angle_gamma 90.00
loop_
_atom_site_label
_atom_site_type_symbol
_atom_site_fract_x
_atom_site_fract_y
_atom_site_fract_z
Tb1 Tb 0.000 0.000 0.000
Tb2 Tb 0.000 0.250 0.250
Dy1 Dy 0.000 0.000 0.500
```

## Properties
* calculated formation energy: 0.0147 eV/atom
* VASP energy: -147.6 eV for the cell shown
* D(E_F): 41.767 states/eV per cell
* calculated density: 8.4 g/cm³

***

Below is a relaxed Pm2PuPa crystal, with properties calculated at the PBE level.

Structure (CIF):
```
data_Pm2PuPa
_chemical_formula_sum 'Pm6 Pu3 Pa3'
_symmetry_space_group_name_H-M 'R -3 m'
_symmetry_Int_Tables_number 166
_symmetry_space_group_name_Hall '-R 3 2"'
_cell_length_a 3.3199
_cell_length_b 3.3199
_cell_length_c 37.0249
_cell_angle_alpha 90.00
_cell_angle_beta 90.00
_cell_angle_gamma 120.00
loop_
_atom_site_label
_atom_site_type_symbol
_atom_site_fract_x
_atom_site_fract_y
_atom_site_fract_z
Pm1 Pm 0.0000 0.0000 0.0878
Pu1 Pu 0.0000 0.0000 0.5000
Pa1 Pa 0.0000 0.0000 0.0000
```

## Properties
* calculated formation energy: 0.3822 eV/atom
* VASP energy: -95.4 eV for the cell shown
* D(E_F): 36.329 states/eV per cell
* calculated density: 10.8 g/cm³

***

Below is a relaxed BaHBr3 crystal, with properties calculated at the PBE level.

Structure (CIF):
```
data_BaHBr3
_chemical_formula_sum 'Ba1 H1 Br3'
_symmetry_space_group_name_H-M 'P m -3 m'
_symmetry_Int_Tables_number 221
_symmetry_space_group_name_Hall '-P 4 2 3'
_cell_length_a 5.029
_cell_length_b 5.029
_cell_length_c 5.029
_cell_angle_alpha 90.00
_cell_angle_beta 90.00
_cell_angle_gamma 90.00
loop_
_atom_site_label
_atom_site_type_symbol
_atom_site_fract_x
_atom_site_fract_y
_atom_site_fract_z
Ba1 Ba 0.000 0.000 0.000
H1 H 0.500 0.500 0.500
Br1 Br 0.000 0.500 0.500
```

## Properties
* VASP energy: -14.8 eV for the cell shown
* D(E_F): 0.467 states/eV per cell
* calculated density: 4.9 g/cm³

***

Below is a relaxed NdEuTlNi crystal, with properties calculated at the PBE level.

Structure (CIF):
```
data_NdEuTlNi
_chemical_formula_sum 'Nd4 Eu4 Tl4 Ni4'
_symmetry_space_group_name_H-M 'F -4 3 m'
_symmetry_Int_Tables_number 216
_symmetry_space_group_name_Hall 'F -4 2 3'
_cell_length_a 7.496
_cell_length_b 7.496
_cell_length_c 7.496
_cell_angle_alpha 90.00
_cell_angle_beta 90.00
_cell_angle_gamma 90.00
loop_
_atom_site_label
_atom_site_type_symbol
_atom_site_fract_x
_atom_site_fract_y
_atom_site_fract_z
Nd1 Nd 0.000 0.000 0.000
Eu1 Eu 0.000 0.000 0.500
Tl1 Tl 0.250 0.250 0.750
Ni1 Ni 0.250 0.250 0.250
```

## Properties
* calculated formation energy: -0.1396 eV/atom
* VASP energy: -95.0 eV for the cell shown
* D(E_F): 35.361 states/eV per cell
* calculated density: 8.8 g/cm³

***

Below is a relaxed Co2Pt crystal, with properties calculated at the PBE level.

Structure (CIF):
```
data_Co2Pt
_chemical_formula_sum 'Co8 Pt4'
_symmetry_space_group_name_H-M 'P a -3'
_symmetry_Int_Tables_number 205
_symmetry_space_group_name_Hall '-P 2ac 2ab 3'
_cell_length_a 5.790
_cell_length_b 5.790
_cell_length_c 5.790
_cell_angle_alpha 90.00
_cell_angle_beta 90.00
_cell_angle_gamma 90.00
loop_
_atom_site_label
_atom_site_type_symbol
_atom_site_fract_x
_atom_site_fract_y
_atom_site_fract_z
Co1 Co 0.107 0.107 0.107
Pt1 Pt 0.000 0.000 0.500
```

## Properties
* calculated formation energy: 0.7231 eV/atom
* VASP energy: -72.3 eV for the cell shown
* D(E_F): 13.477 states/eV per cell
* calculated density: 10.7 g/cm³